Record 1
{
  "formula": "P2Au",
  "functional": "GGA-PBE",
  "state": "relaxed",
  "magmom_total_mub_per_cell": 0.00,
  "formation_enthalpy_0k_ev_per_fu": 0.788,
  "lattice_angstrom": [[5.470, -1.613, 0.000], [5.470, 1.613, 0.000], [-4.063, 0.000, 7.067]],
  "species": ["P", "P", "P", "P", "Au", "Au"],
  "fractional_positions": [[0.000, 0.000, 0.000], [0.135, 0.135, 0.564], [0.515, 0.515, 0.830], [0.750, 0.750, 0.515], [0.457, 0.457, 0.305], [0.719, 0.719, 0.187]]
}



Record 2
{
  "formula": "Er5Tl4Sn",
  "functional": "GGA-PBE",
  "state": "relaxed",
  "magmom_total_mub_per_cell": 0.00,
  "formation_enthalpy_0k_ev_per_fu": -3.644,
  "lattice_angstrom": [[3.597, 0.000, 0.000], [0.000, 3.597, 0.000], [0.000, 0.000, 20.516]],
  "species": ["Er", "Er", "Er", "Er", "Er", "Tl", "Tl", "Tl", "Tl", "Sn"],
  "fractional_positions": [[0.000, 0.000, 0.000], [0.000, 0.000, 0.201], [0.000, 0.000, 0.402], [0.000, 0.000, 0.598], [0.000, 0.000, 0.799], [0.500, 0.500, 0.100], [0.500, 0.500, 0.300], [0.500, 0.500, 0.700], [0.500, 0.500, 0.900], [0.500, 0.500, 0.500]]
}



Record 3
{
  "formula": "Pr2Dy6Ho3",
  "functional": "GGA-PBE",
  "state": "relaxed",
  "magmom_total_mub_per_cell": 0.00,
  "formation_enthalpy_0k_ev_per_fu": 1.976,
  "e_above_lowest_polymorph_kj_per_mol_atoms": 0.0,
  "lattice_angstrom": [[3.056, -5.299, 0.000], [3.056, 5.299, 0.000], [-2.062, 0.000, 11.552]],
  "species": ["Pr", "Pr", "Dy", "Dy", "Dy", "Dy", "Dy", "Dy", "Ho", "Ho", "Ho"],
  "fractional_positions": [[0.167, 0.833, 0.000], [0.833, 0.167, 0.000], [0.082, 0.415, 0.746], [0.251, 0.251, 0.254], [0.415, 0.082, 0.746], [0.585, 0.918, 0.254], [0.749, 0.749, 0.746], [0.918, 0.585, 0.254], [0.000, 0.000, 0.500], [0.335, 0.665, 0.500], [0.665, 0.335, 0.500]]
}



Record 4
{
  "formula": "Ce4GaH",
  "functional": "GGA-PBE",
  "state": "relaxed",
  "magmom_total_mub_per_cell": 0.55,
  "total_energy_ev_per_atom": -5.27,
  "lattice_angstrom": [[3.562, -7.360, 0.000], [3.562, 7.360, 0.000], [-2.576, 0.000, 5.126]],
  "species": ["Ce", "Ce", "Ce", "Ce", "Ce", "Ce", "Ce", "Ce", "Ga", "Ga", "H", "H"],
  "fractional_positions": [[0.146, 0.726, 0.938], [0.160, 0.303, 0.635], [0.274, 0.854, 0.562], [0.303, 0.160, 0.135], [0.697, 0.840, 0.865], [0.726, 0.146, 0.438], [0.840, 0.697, 0.365], [0.854, 0.274, 0.062], [0.393, 0.607, 0.250], [0.607, 0.393, 0.750], [0.002, 0.998, 0.750], [0.998, 0.002, 0.250]]
}



Record 5
{
  "formula": "Pa2Pt3Au",
  "functional": "GGA-PBE",
  "state": "relaxed",
  "magmom_total_mub_per_cell": 0.00,
  "formation_enthalpy_0k_ev_per_fu": -5.349,
  "lattice_angstrom": [[7.507, 0.000, 0.000], [0.000, 3.696, 0.000], [0.000, 0.000, 17.684]],
  "species": ["Pa", "Pa", "Pa", "Pa", "Pa", "Pa", "Pa", "Pa", "Pt", "Pt", "Pt", "Pt", "Pt", "Pt", "Pt", "Pt", "Pt", "Pt", "Pt", "Pt", "Au", "Au", "Au", "Au"],
  "fractional_positions": [[0.110, 0.250, 0.208], [0.164, 0.250, 0.431], [0.336, 0.750, 0.931], [0.390, 0.750, 0.708], [0.610, 0.250, 0.292], [0.664, 0.250, 0.069], [0.836, 0.750, 0.569], [0.890, 0.750, 0.792], [0.072, 0.250, 0.662], [0.201, 0.250, 0.810], [0.204, 0.750, 0.549], [0.296, 0.250, 0.049], [0.299, 0.750, 0.310], [0.428, 0.750, 0.162], [0.572, 0.250, 0.838], [0.701, 0.250, 0.690], [0.704, 0.750, 0.951], [0.796, 0.250, 0.451], [0.799, 0.750, 0.190], [0.928, 0.750, 0.338], [0.017, 0.750, 0.065], [0.483, 0.250, 0.565], [0.517, 0.750, 0.435], [0.983, 0.250, 0.935]]
}



Record 6
{
  "formula": "NdTm2Pu",
  "functional": "GGA-PBE",
  "state": "relaxed",
  "magmom_total_mub_per_cell": 6.50,
  "formation_enthalpy_0k_ev_per_fu": 0.737,
  "e_above_lowest_polymorph_kj_per_mol_atoms": 8.6,
  "lattice_angstrom": [[5.757, 0.000, 0.000], [0.000, 5.757, 0.000], [0.000, 0.000, 3.718]],
  "species": ["Nd", "Tm", "Tm", "Pu"],
  "fractional_positions": [[0.000, 0.000, 0.000], [0.000, 0.500, 0.500], [0.500, 0.000, 0.500], [0.500, 0.500, 0.000]]
}



Record 7
{
  "formula": "Tm4GaHg2",
  "functional": "GGA-PBE",
  "state": "relaxed",
  "magmom_total_mub_per_cell": 0.00,
  "formation_enthalpy_0k_ev_per_fu": -2.315,
  "lattice_angstrom": [[2.535, 1.463, 8.308], [-2.535, 1.463, 8.308], [0.000, -2.927, 8.308]],
  "species": ["Tm", "Tm", "Tm", "Tm", "Ga", "Hg", "Hg"],
  "fractional_positions": [[0.124, 0.124, 0.124], [0.375, 0.375, 0.375], [0.625, 0.625, 0.625], [0.876, 0.876, 0.876], [0.500, 0.500, 0.500], [0.252, 0.252, 0.252], [0.748, 0.748, 0.748]]
}



Record 8
{
  "formula": "LiZr2Sb2",
  "functional": "GGA-PBE",
  "state": "relaxed",
  "magmom_total_mub_per_cell": 0.00,
  "formation_energy_uncorrected_ev_per_atom": -0.56,
  "e_above_lowest_polymorph_kj_per_mol_atoms": 0.0,
  "lattice_angstrom": [[7.748, 0.000, 0.000], [0.000, 7.748, 0.000], [0.000, 0.000, 3.834]],
  "species": ["Li", "Li", "Zr", "Zr", "Zr", "Zr", "Sb", "Sb", "Sb", "Sb"],
  "fractional_positions": [[0.000, 0.000, 0.000], [0.500, 0.500, 0.000], [0.144, 0.356, 0.500], [0.356, 0.856, 0.500], [0.644, 0.144, 0.500], [0.856, 0.644, 0.500], [0.153, 0.653, 0.000], [0.347, 0.153, 0.000], [0.653, 0.847, 0.000], [0.847, 0.347, 0.000]]
}



Record 9
{
  "formula": "ErCd2Ag8",
  "functional": "GGA-PBE",
  "state": "relaxed",
  "magmom_total_mub_per_cell": 0.00,
  "formation_enthalpy_0k_ev_per_fu": -0.181,
  "e_above_lowest_polymorph_kj_per_mol_atoms": 8.1,
  "lattice_angstrom": [[3.878, -7.237, 0.000], [3.878, 7.237, 0.000], [-3.300, 0.000, 3.946]],
  "species": ["Er", "Cd", "Cd", "Ag", "Ag", "Ag", "Ag", "Ag", "Ag", "Ag", "Ag"],
  "fractional_positions": [[0.000, 0.000, 0.000], [0.319, 0.681, 0.500], [0.681, 0.319, 0.500], [0.095, 0.361, 0.721], [0.203, 0.797, 0.000], [0.361, 0.095, 0.721], [0.485, 0.485, 0.236], [0.515, 0.515, 0.764], [0.639, 0.905, 0.279], [0.797, 0.203, 0.000], [0.905, 0.639, 0.279]]
}



Record 10
{
  "formula": "Ga3H2Rh6",
  "functional": "GGA-PBE",
  "state": "relaxed",
  "magmom_total_mub_per_cell": 0.00,
  "total_energy_ev_per_atom": -5.68,
  "lattice_angstrom": [[-1.919, 1.919, 9.724], [1.919, -1.919, 9.724], [1.919, 1.919, -9.724]],
  "species": ["Ga", "Ga", "Ga", "H", "H", "Rh", "Rh", "Rh", "Rh", "Rh", "Rh"],
  "fractional_positions": [[0.000, 0.000, 0.000], [0.179, 0.179, 0.000], [0.821, 0.821, 0.000], [0.423, 0.423, 0.000], [0.577, 0.577, 0.000], [0.087, 0.587, 0.500], [0.304, 0.304, 0.000], [0.413, 0.913, 0.500], [0.587, 0.087, 0.500], [0.696, 0.696, 0.000], [0.913, 0.413, 0.500]]
}



Record 11
{
  "formula": "LiY2Hg6",
  "functional": "GGA-PBE",
  "state": "relaxed",
  "magmom_total_mub_per_cell": 0.00,
  "formation_enthalpy_0k_ev_per_fu": -3.227,
  "lattice_angstrom": [[9.196, 0.000, 0.000], [0.000, 9.196, 0.000], [0.000, 0.000, 4.976]],
  "species": ["Li", "Li", "Y", "Y", "Y", "Y", "Hg", "Hg", "Hg", "Hg", "Hg", "Hg", "Hg", "Hg", "Hg", "Hg", "Hg", "Hg"],
  "fractional_positions": [[0.000, 0.000, 0.000], [0.500, 0.500, 0.500], [0.207, 0.207, 0.500], [0.293, 0.707, 0.000], [0.707, 0.293, 0.000], [0.793, 0.793, 0.500], [0.040, 0.331, 0.000], [0.126, 0.874, 0.500], [0.169, 0.540, 0.500], [0.331, 0.040, 0.000], [0.374, 0.374, 0.000], [0.460, 0.831, 0.500], [0.540, 0.169, 0.500], [0.626, 0.626, 0.000], [0.669, 0.960, 0.000], [0.831, 0.460, 0.500], [0.874, 0.126, 0.500], [0.960, 0.669, 0.000]]
}



Record 12
{
  "formula": "AgPtCl",
  "functional": "GGA-PBE",
  "state": "relaxed",
  "magmom_total_mub_per_cell": 0.00,
  "formation_energy_uncorrected_ev_per_atom": 0.26,
  "e_above_lowest_polymorph_kj_per_mol_atoms": 0.0,
  "lattice_angstrom": [[3.188, 0.000, 0.000], [-1.594, 2.761, 0.000], [0.000, 0.000, 6.117]],
  "species": ["Ag", "Pt", "Cl"],
  "fractional_positions": [[0.000, 0.000, 0.000], [0.333, 0.667, 0.662], [0.667, 0.333, 0.344]]
}



Record 13
{
  "formula": "CsTaSe3",
  "functional": "GGA-PBE",
  "state": "relaxed",
  "magmom_total_mub_per_cell": 0.00,
  "formation_energy_uncorrected_ev_per_atom": -0.78,
  "e_above_lowest_polymorph_kj_per_mol_atoms": 21.3,
  "lattice_angstrom": [[5.169, 0.000, 0.000], [0.000, 5.169, 0.000], [0.000, 0.000, 5.169]],
  "species": ["Cs", "Ta", "Se", "Se", "Se"],
  "fractional_positions": [[0.000, 0.000, 0.000], [0.500, 0.500, 0.500], [0.000, 0.500, 0.500], [0.500, 0.000, 0.500], [0.500, 0.500, 0.000]]
}



Record 14
{
  "formula": "Zr2TaMn",
  "functional": "GGA-PBE",
  "state": "relaxed",
  "magmom_total_mub_per_cell": 3.31,
  "formation_enthalpy_0k_ev_per_fu": 0.877,
  "e_above_lowest_polymorph_kj_per_mol_atoms": 22.6,
  "lattice_angstrom": [[-2.066, 2.066, 4.577], [2.066, -2.066, 4.577], [2.066, 2.066, -4.577]],
  "species": ["Zr", "Zr", "Ta", "Mn"],
  "fractional_positions": [[0.000, 0.000, 0.000], [0.750, 0.250, 0.500], [0.500, 0.500, 0.000], [0.250, 0.750, 0.500]]
}



Record 15
{
  "formula": "AlGa4Ag",
  "functional": "GGA-PBE",
  "state": "relaxed",
  "magmom_total_mub_per_cell": 0.00,
  "formation_enthalpy_0k_ev_per_fu": 0.248,
  "e_above_lowest_polymorph_kj_per_mol_atoms": 0.3,
  "lattice_angstrom": [[2.826, -7.749, 0.000], [2.826, 7.749, 0.000], [-2.792, 0.000, 5.044]],
  "species": ["Al", "Al", "Ga", "Ga", "Ga", "Ga", "Ga", "Ga", "Ga", "Ga", "Ag", "Ag"],
  "fractional_positions": [[0.125, 0.875, 0.750], [0.875, 0.125, 0.250], [0.034, 0.466, 0.749], [0.215, 0.283, 0.749], [0.283, 0.215, 0.249], [0.466, 0.034, 0.249], [0.534, 0.966, 0.751], [0.717, 0.785, 0.751], [0.785, 0.717, 0.251], [0.966, 0.534, 0.251], [0.375, 0.625, 0.250], [0.625, 0.375, 0.750]]
}



Record 16
{
  "formula": "LiCeTh2N4",
  "functional": "GGA-PBE",
  "state": "relaxed",
  "magmom_total_mub_per_cell": 0.61,
  "formation_energy_uncorrected_ev_per_atom": -1.26,
  "lattice_angstrom": [[6.076, 0.000, 0.000], [0.000, 3.709, 0.000], [-1.872, 0.000, 5.896]],
  "species": ["Li", "Ce", "Th", "Th", "N", "N", "N", "N"],
  "fractional_positions": [[0.000, 0.000, 0.000], [0.000, 0.500, 0.500], [0.500, 0.000, 0.500], [0.500, 0.500, 0.000], [0.260, 0.000, 0.753], [0.280, 0.500, 0.281], [0.720, 0.500, 0.719], [0.740, 0.000, 0.247]]
}



Record 17
{
  "formula": "ReIrW2",
  "functional": "GGA-PBE",
  "state": "relaxed",
  "magmom_total_mub_per_cell": 0.00,
  "formation_enthalpy_0k_ev_per_fu": -0.149,
  "lattice_angstrom": [[-1.979, 1.979, 3.941], [1.979, -1.979, 3.941], [1.979, 1.979, -3.941]],
  "species": ["Re", "Ir", "W", "W"],
  "fractional_positions": [[0.000, 0.000, 0.000], [0.500, 0.500, 0.000], [0.250, 0.750, 0.500], [0.750, 0.250, 0.500]]
}



Record 18
{
  "formula": "ErPaS3",
  "functional": "GGA-PBE",
  "state": "relaxed",
  "magmom_total_mub_per_cell": 3.66,
  "formation_energy_uncorrected_ev_per_atom": -1.62,
  "e_above_lowest_polymorph_kj_per_mol_atoms": 21.5,
  "lattice_angstrom": [[3.295, 1.902, 6.785], [-3.295, 1.902, 6.785], [0.000, -3.804, 6.785]],
  "species": ["Er", "Er", "Pa", "Pa", "S", "S", "S", "S", "S", "S"],
  "fractional_positions": [[0.157, 0.157, 0.157], [0.843, 0.843, 0.843], [0.343, 0.343, 0.343], [0.657, 0.657, 0.657], [0.053, 0.445, 0.755], [0.245, 0.555, 0.947], [0.445, 0.755, 0.053], [0.555, 0.947, 0.245], [0.755, 0.053, 0.445], [0.947, 0.245, 0.555]]
}



Record 19
{
  "formula": "PmHfTl2",
  "functional": "GGA-PBE",
  "state": "relaxed",
  "magmom_total_mub_per_cell": 0.00,
  "formation_enthalpy_0k_ev_per_fu": -0.122,
  "lattice_angstrom": [[4.812, 0.000, 0.000], [0.000, 4.812, 0.000], [0.000, 0.000, 4.429]],
  "species": ["Pm", "Hf", "Tl", "Tl"],
  "fractional_positions": [[0.000, 0.000, 0.000], [0.500, 0.500, 0.000], [0.000, 0.500, 0.500], [0.500, 0.000, 0.500]]
}



Record 20
{
  "formula": "HoAsN",
  "functional": "GGA-PBE",
  "state": "relaxed",
  "magmom_total_mub_per_cell": 0.00,
  "formation_energy_uncorrected_ev_per_atom": -0.93,
  "lattice_angstrom": [[1.946, 1.124, 8.902], [-1.946, 1.124, 8.902], [0.000, -2.248, 8.902]],
  "species": ["Ho", "Ho", "As", "As", "N", "N"],
  "fractional_positions": [[0.213, 0.213, 0.213], [0.787, 0.787, 0.787], [0.357, 0.357, 0.357], [0.643, 0.643, 0.643], [0.128, 0.128, 0.128], [0.872, 0.872, 0.872]]
}